First-principles (PBE) data for a relaxed AcAlSn2 crystal, as listed in Alexandria via LeMat-Bulk. Values from VASP.

The structure in Quantum ESPRESSO input format:
```
&SYSTEM
  ibrav = 0, nat = 4, ntyp = 3
/
ATOMIC_SPECIES
Ac 227.00 Ac.upf
Al 26.98 Al.upf
Sn 118.71 Sn.upf
CELL_PARAMETERS angstrom
2.455 1.417 5.569
-2.455 1.417 5.569
0.000 -2.835 5.569
ATOMIC_POSITIONS crystal
Ac 0.000 0.000 0.000
Al 0.500 0.500 0.500
Sn 0.215 0.215 0.215
Sn 0.785 0.785 0.785
```

Properties
ΔH_f (0 K) = -121 kJ/mol of formula units
spin magnetization = 0.0 Bohr magnetons per cell
ΔE to the lowest computed polymorph = 0.066 eV/atom

First-principles (PBE) data for a relaxed LaUTl2S6 crystal, as listed in Alexandria via LeMat-Bulk. Values from VASP.

The structure in Quantum ESPRESSO input format:
```
&SYSTEM
  ibrav = 0, nat = 20, ntyp = 4
/
ATOMIC_SPECIES
La 138.91 La.upf
U 238.03 U.upf
Tl 204.38 Tl.upf
S 32.06 S.upf
CELL_PARAMETERS angstrom
7.218 0.000 0.000
0.000 7.394 0.000
-7.214 0.000 10.479
ATOMIC_POSITIONS crystal
La 0.000 0.000 0.000
La 0.000 0.500 0.500
U 0.500 0.000 0.500
U 0.500 0.500 0.000
Tl 0.254 0.051 0.747
Tl 0.254 0.449 0.247
Tl 0.746 0.551 0.753
Tl 0.746 0.949 0.253
S 0.167 0.037 0.265
S 0.167 0.463 0.765
S 0.248 0.675 0.045
S 0.248 0.825 0.545
S 0.383 0.207 0.053
S 0.383 0.293 0.553
S 0.617 0.707 0.447
S 0.617 0.793 0.947
S 0.752 0.175 0.455
S 0.752 0.325 0.955
S 0.833 0.537 0.235
S 0.833 0.963 0.735
```

Properties
raw formation energy = -1.0125 eV per atom
spin magnetization = 0.0 Bohr magnetons per cell

First-principles (PBE) data for a relaxed SrPrPd crystal, as listed in Alexandria via LeMat-Bulk. Values from VASP.

The structure in Quantum ESPRESSO input format:
```
&SYSTEM
  ibrav = 0, nat = 3, ntyp = 3
/
ATOMIC_SPECIES
Sr 87.62 Sr.upf
Pr 140.91 Pr.upf
Pd 106.42 Pd.upf
CELL_PARAMETERS angstrom
4.264 0.000 0.000
-2.132 3.693 0.000
0.000 0.000 7.043
ATOMIC_POSITIONS crystal
Sr 0.000 0.000 0.000
Pr 0.667 0.333 0.479
Pd 0.333 0.667 0.266
```

Properties
ΔH_f (0 K) = -110 kJ/mol of formula units
spin magnetization = 0.0 Bohr magnetons per cell
ΔE to the lowest computed polymorph = 0.110 eV/atom

First-principles (PBE) data for a relaxed CuTc2SbRu crystal, as listed in Alexandria via LeMat-Bulk. Values from VASP.

The structure in Quantum ESPRESSO input format:
```
&SYSTEM
  ibrav = 0, nat = 5, ntyp = 4
/
ATOMIC_SPECIES
Cu 63.55 Cu.upf
Tc 98.00 Tc.upf
Sb 121.76 Sb.upf
Ru 101.07 Ru.upf
CELL_PARAMETERS angstrom
4.679 0.000 0.000
0.000 4.679 0.000
0.000 0.000 4.959
ATOMIC_POSITIONS crystal
Cu 0.000 0.000 0.000
Tc 0.000 0.500 0.500
Tc 0.500 0.000 0.500
Sb 0.500 0.500 0.000
Ru 0.500 0.500 0.500
```

Properties
raw formation energy = 1.5722 eV per atom
spin magnetization = 1.8 Bohr magnetons per cell

First-principles (PBE) data for a relaxed Co3SiGe2 crystal, as listed in Alexandria via LeMat-Bulk. Values from VASP.

The structure in Quantum ESPRESSO input format:
```
&SYSTEM
  ibrav = 0, nat = 12, ntyp = 3
/
ATOMIC_SPECIES
Co 58.93 Co.upf
Si 28.09 Si.upf
Ge 72.64 Ge.upf
CELL_PARAMETERS angstrom
5.983 -2.424 0.000
5.983 2.424 0.000
-0.797 0.000 5.085
ATOMIC_POSITIONS crystal
Co 0.021 0.979 0.750
Co 0.225 0.465 0.982
Co 0.465 0.225 0.482
Co 0.535 0.775 0.518
Co 0.775 0.535 0.018
Co 0.979 0.021 0.250
Si 0.487 0.513 0.750
Si 0.513 0.487 0.250
Ge 0.044 0.292 0.606
Ge 0.292 0.044 0.106
Ge 0.708 0.956 0.894
Ge 0.956 0.708 0.394
```

Properties
raw formation energy = -0.1711 eV per atom
spin magnetization = 0.0 Bohr magnetons per cell
ΔE to the lowest computed polymorph = 0.157 eV/atom

First-principles (PBE) data for a relaxed NpAsF crystal, as listed in Alexandria via LeMat-Bulk. Values from VASP.

The structure in Quantum ESPRESSO input format:
```
&SYSTEM
  ibrav = 0, nat = 3, ntyp = 3
/
ATOMIC_SPECIES
Np 237.00 Np.upf
As 74.92 As.upf
F 19.00 F.upf
CELL_PARAMETERS angstrom
-1.641 1.641 5.221
1.641 -1.641 5.221
1.641 1.641 -5.221
ATOMIC_POSITIONS crystal
Np 0.000 0.000 0.000
As 0.307 0.307 0.000
F 0.593 0.593 0.000
```

Properties
raw formation energy = -1.3284 eV per atom
spin magnetization = 4.2 Bohr magnetons per cell
ΔE to the lowest computed polymorph = 0.351 eV/atom

First-principles (PBE) data for a relaxed SrMnIr2 crystal, as listed in Alexandria via LeMat-Bulk. Values from VASP.

The structure in Quantum ESPRESSO input format:
```
&SYSTEM
  ibrav = 0, nat = 4, ntyp = 3
/
ATOMIC_SPECIES
Sr 87.62 Sr.upf
Mn 54.94 Mn.upf
Ir 192.22 Ir.upf
CELL_PARAMETERS angstrom
4.733 0.000 0.000
0.000 4.733 0.000
0.000 0.000 3.261
ATOMIC_POSITIONS crystal
Sr 0.000 0.000 0.000
Mn 0.500 0.500 0.000
Ir 0.000 0.500 0.500
Ir 0.500 0.000 0.500
```

Properties
ΔH_f (0 K) = 170 kJ/mol of formula units
spin magnetization = 4.1 Bohr magnetons per cell
ΔE to the lowest computed polymorph = 0.515 eV/atom

First-principles (PBE) data for a relaxed TbPmPrPu crystal, as listed in Alexandria via LeMat-Bulk. Values from VASP.

The structure in Quantum ESPRESSO input format:
```
&SYSTEM
  ibrav = 0, nat = 4, ntyp = 4
/
ATOMIC_SPECIES
Tb 158.93 Tb.upf
Pm 145.00 Pm.upf
Pr 140.91 Pr.upf
Pu 244.00 Pu.upf
CELL_PARAMETERS angstrom
0.000 4.034 4.034
4.034 0.000 4.034
4.034 4.034 0.000
ATOMIC_POSITIONS crystal
Tb 0.000 0.000 0.000
Pm 0.750 0.750 0.750
Pr 0.500 0.500 0.500
Pu 0.250 0.250 0.250
```

Properties
ΔH_f (0 K) = 89 kJ/mol of formula units
spin magnetization = 7.5 Bohr magnetons per cell

Copy entry 2 word for word.
First-principles (PBE) data for a relaxed LaUTl2S6 crystal, as listed in Alexandria via LeMat-Bulk. Values from VASP.

The structure in Quantum ESPRESSO input format:
```
&SYSTEM
  ibrav = 0, nat = 20, ntyp = 4
/
ATOMIC_SPECIES
La 138.91 La.upf
U 238.03 U.upf
Tl 204.38 Tl.upf
S 32.06 S.upf
CELL_PARAMETERS angstrom
7.218 0.000 0.000
0.000 7.394 0.000
-7.214 0.000 10.479
ATOMIC_POSITIONS crystal
La 0.000 0.000 0.000
La 0.000 0.500 0.500
U 0.500 0.000 0.500
U 0.500 0.500 0.000
Tl 0.254 0.051 0.747
Tl 0.254 0.449 0.247
Tl 0.746 0.551 0.753
Tl 0.746 0.949 0.253
S 0.167 0.037 0.265
S 0.167 0.463 0.765
S 0.248 0.675 0.045
S 0.248 0.825 0.545
S 0.383 0.207 0.053
S 0.383 0.293 0.553
S 0.617 0.707 0.447
S 0.617 0.793 0.947
S 0.752 0.175 0.455
S 0.752 0.325 0.955
S 0.833 0.537 0.235
S 0.833 0.963 0.735
```

Properties
raw formation energy = -1.0125 eV per atom
spin magnetization = 0.0 Bohr magnetons per cell

Q: Which of these has the highest spin magnetization?
A: TbPmPrPu